Entry 1:
A plane-wave DFT calculation with PBE was carried out for KNi3Ge5 after structural relaxation.

The total energy is -4.688 eV/atom.

It has space group P6/mmm (No. 191), with a = 4.8725 Å, b = 4.8725 Å, c = 8.3668 Å, α = 90.00°, β = 90.00° and γ = 120.00°. The inequivalent atoms are K at (0.0000, 0.0000, 0.0000), Ni at (0.0000, 0.5000, 0.5000), Ge at (0.0000, 0.0000, 0.5000) and Ge at (0.3333, 0.6667, 0.2505).

Entry 2:
A plane-wave DFT calculation with PBE was carried out for KNiGeTe3 after structural relaxation.

The total energy is -3.745 eV/atom.

It has space group P2_1/m (No. 11), with a = 8.9556 Å, b = 3.9792 Å, c = 10.7691 Å, α = 90.00°, β = 111.65° and γ = 90.00°. The inequivalent atoms are K at (0.2167, 0.2500, 0.2628), Ni at (0.3637, 0.7500, 0.8445), Ge at (0.1150, 0.2500, 0.5484), Te at (0.1474, 0.2500, 0.8067), Te at (0.3479, 0.7500, 0.5889) and Te at (0.4276, 0.7500, 0.0975).

Entry 3:
A plane-wave DFT calculation with PBE was carried out for K2Tm2Ge2O7 after structural relaxation.

The total energy is -6.249 eV/atom.

It has space group P-3 (No. 147), with a = 5.8208 Å, b = 5.8208 Å, c = 7.8869 Å, α = 90.00°, β = 90.00° and γ = 120.00°. The inequivalent atoms are K at (0.3333, 0.6667, 0.4062), Tm at (0.3333, 0.6667, 0.8456), Ge at (0.0000, 0.0000, 0.2286), O at (0.0000, 0.0000, 0.0000) and O at (0.1222, 0.7958, 0.7007).

Entry 4:
A plane-wave DFT calculation with PBE was carried out for K2ZrGe2O7 after structural relaxation.

The total energy is -6.747 eV/atom.

It has space group C2/c (No. 15), with a = 9.9789 Å, b = 5.5508 Å, c = 12.8875 Å, α = 90.00°, β = 105.44° and γ = 90.00°. The inequivalent atoms are K at (0.1518, 0.2086, 0.1813), Zr at (0.2500, 0.2500, 0.5000), Ge at (0.0351, 0.2818, 0.8781), O at (0.0000, 0.1296, 0.7500), O at (0.1200, 0.4458, 0.3687), O at (0.1303, 0.3457, 0.6053) and O at (0.1309, 0.0634, 0.9632).

Entry 5:
A plane-wave DFT calculation with PBE was carried out for KGeOs after structural relaxation.

The energy above the most stable polymorph in this dataset is 1126.7 meV/atom.

It has space group F-43m (No. 216), with a = 6.8061 Å, b = 6.8061 Å, c = 6.8061 Å, α = 90.00°, β = 90.00° and γ = 90.00°. The inequivalent atoms are K at (0.0000, 0.0000, 0.0000), Ge at (0.2500, 0.2500, 0.7500) and Os at (0.2500, 0.2500, 0.2500).

Entry 6:
A plane-wave DFT calculation with PBE was carried out for KGeOs after structural relaxation.

The energy above the most stable polymorph in this dataset is 0.0 meV/atom.

It has space group F-43m (No. 216), with a = 6.3894 Å, b = 6.3894 Å, c = 6.3894 Å, α = 90.00°, β = 90.00° and γ = 90.00°. The inequivalent atoms are K at (0.0000, 0.0000, 0.0000), Ge at (0.0000, 0.0000, 0.5000) and Os at (0.2500, 0.2500, 0.7500).

Entry 7:
A plane-wave DFT calculation with PBE was carried out for KPaGe after structural relaxation.

The energy above the most stable polymorph in this dataset is 0.0 meV/atom.

It has space group F-43m (No. 216), with a = 7.2463 Å, b = 7.2463 Å, c = 7.2463 Å, α = 90.00°, β = 90.00° and γ = 90.00°. The inequivalent atoms are K at (0.0000, 0.0000, 0.0000), Pa at (0.0000, 0.0000, 0.5000) and Ge at (0.2500, 0.2500, 0.2500).

Entry 8:
A plane-wave DFT calculation with PBE was carried out for K4Zn2GePb after structural relaxation.

The total energy is -2.045 eV/atom.

It has space group Amm2 (No. 38), with a = 6.3268 Å, b = 10.7570 Å, c = 8.0760 Å, α = 90.00°, β = 90.00° and γ = 90.00°. The inequivalent atoms are K at (0.0000, 0.1671, 0.0000), K at (0.5000, 0.1765, 0.2943), Zn at (0.2682, 0.0000, 0.6661), Ge at (0.5000, 0.0000, 0.9092) and Pb at (0.0000, 0.0000, 0.4060).

Entry 9:
A plane-wave DFT calculation with PBE was carried out for KGe5Pd3 after structural relaxation.

The total energy is -4.499 eV/atom.

It has space group P6/mmm (No. 191), with a = 5.4879 Å, b = 5.4879 Å, c = 7.2124 Å, α = 90.00°, β = 90.00° and γ = 120.00°. The inequivalent atoms are K at (0.0000, 0.0000, 0.0000), Ge at (0.0000, 0.0000, 0.5000), Ge at (0.3333, 0.6667, 0.2126) and Pd at (0.0000, 0.5000, 0.5000).

Entry 10:
A plane-wave DFT calculation with PBE was carried out for K4Ge2Pd7 after structural relaxation.

The total energy is -4.034 eV/atom.

It has space group R-3m (No. 166, hexagonal axes), with a = 5.8916 Å, b = 5.8916 Å, c = 30.2315 Å, α = 90.00°, β = 90.00° and γ = 120.00°. The inequivalent atoms are K at (0.0000, 0.0000, 0.1863), K at (0.0000, 0.0000, 0.3107), Ge at (0.0000, 0.0000, 0.0403), Pd at (0.0000, 0.0000, 0.5000) and Pd at (0.0238, 0.5119, 0.2422).

Entry 11:
A plane-wave DFT calculation with PBE was carried out for KPmGe after structural relaxation.

The energy above the most stable polymorph in this dataset is 0.0 meV/atom.

It has space group F-43m (No. 216), with a = 7.4294 Å, b = 7.4294 Å, c = 7.4294 Å, α = 90.00°, β = 90.00° and γ = 90.00°. The inequivalent atoms are K at (0.0000, 0.0000, 0.0000), Pm at (0.0000, 0.0000, 0.5000) and Ge at (0.2500, 0.2500, 0.2500).

Entry 12:
A plane-wave DFT calculation with PBE was carried out for KPrGe after structural relaxation.

The energy above the most stable polymorph in this dataset is 0.0 meV/atom.

It has space group F-43m (No. 216), with a = 7.4817 Å, b = 7.4817 Å, c = 7.4817 Å, α = 90.00°, β = 90.00° and γ = 90.00°. The inequivalent atoms are K at (0.0000, 0.0000, 0.0000), Pr at (0.0000, 0.0000, 0.5000) and Ge at (0.2500, 0.2500, 0.2500).